# 1
Compound: Be2Al
Source: Alexandria via LeMat-Bulk
Functional: PBE
Structure: relaxed

Calculated values
Final energy: -3.40 eV/atom

abc: 2.6483 12.5427 4.1426
angles: 90.00 90.00 90.00
Closest atoms and distances in Å follow each position.
Space group Cmcm (No. 63)
Asymmetric unit:
Be1 0.0000 0.0446 0.2500  4 Be 2.24-2.35, 2 Al 2.47
Be2 0.0000 0.4002 0.2500  2 Be 2.24, 2 Al 2.50
Al1 0.0000 0.2890 0.7500  6 Be 2.47-2.72, 6 Al 2.65



# 2
Compound: Be2Al
Source: Alexandria via LeMat-Bulk
Functional: PBE
Structure: relaxed

Calculated values
Final energy: -3.66 eV/atom

abc: 4.3468 3.5006 4.5958
angles: 90.00 103.66 90.00
Closest atoms and distances in Å follow each position.
Space group P2_1/m (No. 11)
Asymmetric unit:
Be1 0.0958 0.2500 0.3954  6 Be 2.15-2.25, 2 Al 2.34-2.41
Be2 0.3941 0.7500 0.5853  6 Be 2.15-2.23
Al1 0.2354 0.2500 0.9184  7 Be 2.34-2.53



# 3
Compound: BeAl
Source: Alexandria via LeMat-Bulk
Functional: PBE
Structure: relaxed

Calculated values
Final energy: -3.50 eV/atom

abc: 7.7252 7.7252 3.6621
angles: 90.00 90.00 90.00
Closest atoms and distances in Å follow each position.
Space group P4/m (No. 83)
Asymmetric unit:
Be1 0.0527 0.8040 0.0000  6 Be 2.22-2.23, 1 Al 2.45
Be2 0.1108 0.1933 0.5000  6 Be 2.22-2.43, 1 Al 2.36
Al1 0.1374 0.5886 0.5000  4 Be 2.36-2.56, 1 Al 2.53
Al2 0.2809 0.3586 0.0000  3 Be 2.45-2.59, 2 Al 2.70



# 4
Compound: Be3Al5
Source: Alexandria via LeMat-Bulk
Functional: PBE
Structure: relaxed

Calculated values
Final energy: -3.54 eV/atom

abc: 4.8274 13.9184 6.7274
angles: 90.00 103.83 90.00
Closest atoms and distances in Å follow each position.
Space group C2/m (No. 12)
Asymmetric unit:
Be1 0.0000 0.1539 0.0000  8 Al 2.46-2.63
Be2 0.0000 0.2477 0.5000  2 Be 2.41, 8 Al 2.41-2.59
Be3 0.0828 0.5000 0.3580  1 Be 2.24, 5 Al 2.43-2.47
Al1 0.1209 0.3165 0.2015  4 Be 2.42-2.63, 1 Al 2.68
Al2 0.1773 0.1071 0.3601  5 Be 2.41-2.59
Al3 0.2331 0.0000 0.9476  3 Be 2.43-2.48, 2 Al 2.50-2.51



# 5
Compound: BeAl4
Source: Alexandria via LeMat-Bulk
Functional: PBE
Structure: relaxed

Calculated values
Final energy: -3.48 eV/atom

abc: 5.5859 5.5859 5.5859
angles: 90.00 90.00 90.00
Closest atoms and distances in Å follow each position.
Space group Im-3m (No. 229)
Asymmetric unit:
Be1 0.0000 0.0000 0.0000  8 Al 2.42
Al1 0.2500 0.2500 0.2500  2 Be 2.42



# 6
Compound: Be2Al
Source: Alexandria via LeMat-Bulk
Functional: PBE
Structure: relaxed

Calculated values
Final energy: -3.51 eV/atom

abc: 8.9861 2.5331 6.2653
angles: 90.00 111.42 90.00
Closest atoms and distances in Å follow each position.
Space group C2/m (No. 12)
Asymmetric unit:
Be1 0.0420 0.0000 0.2426  4 Be 2.25-2.30, 1 Al 2.47
Be2 0.1426 0.5000 0.0196  7 Be 2.25-2.48
Al1 0.1633 0.5000 0.6249  8 Be 2.47-2.61, 2 Al 2.53



# 7
Compound: Be5Al3
Source: Alexandria via LeMat-Bulk
Functional: PBE
Structure: relaxed

Calculated values
Final energy: -3.46 eV/atom

abc: 7.1120 7.2236 3.6426
angles: 90.00 90.00 90.00
Closest atoms and distances in Å follow each position.
Space group Cmmm (No. 65)
Asymmetric unit:
Be1 0.0000 0.0000 0.0000  4 Al 2.48, 8 Be 2.53-2.56
Be2 0.2472 0.5000 0.5000  6 Al 2.46-2.61, 6 Be 2.56
Be3 0.2500 0.2500 0.0000  6 Be 2.53-2.56, 6 Al 2.53-2.55
Al1 0.0000 0.2333 0.5000  10 Be 2.46-2.61, 2 Al 2.65
Al2 0.0000 0.5000 0.0000  8 Be 2.53, 4 Al 2.65



# 8
Compound: BeAl3
Source: Alexandria via LeMat-Bulk
Functional: PBE
Structure: relaxed

Calculated values
Final energy: -3.59 eV/atom

abc: 7.8707 7.9610 3.7559
angles: 90.00 90.00 90.00
Closest atoms and distances in Å follow each position.
Space group Cmcm (No. 63)
Asymmetric unit:
Be1 0.0000 0.1043 0.2500  2 Be 2.51, 6 Al 2.58-2.63
Al1 0.0000 0.3708 0.7500  10 Al 2.69-2.91, 2 Be 2.83
Al2 0.2332 0.1240 0.7500  3 Be 2.58-2.63, 7 Al 2.69-2.82



# 9
Compound: Be2Al
Source: Alexandria via LeMat-Bulk
Functional: PBE
Structure: relaxed

Calculated values
Final energy: -3.45 eV/atom

abc: 2.5568 3.3950 7.7986
angles: 90.00 90.00 90.00
Closest atoms and distances in Å follow each position.
Space group Immm (No. 71)
Asymmetric unit:
Be1 0.0000 0.0000 0.1829  6 Be 2.37-2.56, 5 Al 2.47-2.56
Al1 0.0000 0.0000 0.5000  10 Be 2.47-2.56, 2 Al 2.56



# 10
Compound: BeAl7
Source: Alexandria via LeMat-Bulk
Functional: PBE
Structure: relaxed

Calculated values
Final energy: -3.66 eV/atom

abc: 7.9314 7.9314 7.9314
angles: 90.00 90.00 90.00
Closest atoms and distances in Å follow each position.
Space group Fm-3m (No. 225)
Asymmetric unit:
Be1 0.0000 0.0000 0.0000  12 Al 2.80
Al1 0.0000 0.0000 0.5000  12 Al 2.80
Al2 0.0000 0.2500 0.2500  2 Be 2.80, 10 Al 2.80



# 11
Compound: Be2Al
Source: Alexandria via LeMat-Bulk
Functional: PBE
Structure: relaxed

Calculated values
Final energy: -3.59 eV/atom

abc: 7.3511 3.4892 5.6156
angles: 90.00 105.75 90.00
Closest atoms and distances in Å follow each position.
Space group C2/m (No. 12)
Asymmetric unit:
Be1 0.1023 0.0000 0.1819  6 Be 2.18-2.39, 2 Al 2.42
Be2 0.1257 0.5000 0.9369  6 Be 2.15-2.39
Al1 0.1730 0.0000 0.6405  7 Be 2.42-2.50, 1 Al 2.60



# 12
Compound: BeAl
Source: Alexandria via LeMat-Bulk
Functional: PBE
Structure: relaxed

Calculated values
Final energy: -3.31 eV/atom

abc: 5.9129 5.9129 5.9129
angles: 90.00 90.00 90.00
Closest atoms and distances in Å follow each position.
Space group Fd-3m (No. 227, origin choice 2)
Asymmetric unit:
Be1 0.1250 0.1250 0.1250  4 Be 2.56, 4 Al 2.56
Al1 0.1250 0.1250 0.6250  4 Al 2.56, 4 Be 2.56



- final energy of number 12 (BeAl)?
  -3.31 eV/atom



- Which of these has the highest final energy?
  number 12